[1]
DFT (PBE) results for a relaxed structure of HoCdInTe3.

Output
Its total energy is -3.679 eV per atom. As for the spin magnetization: 0.008 μB per cell. As for the energy relative to the lowest polymorph listed for this composition: 0.058 eV/f.u.

Geometry as CIF:
```
data_HoCdInTe3
_chemical_formula_sum 'Ho2 Cd2 In2 Te6'
_cell_length_a 8.684
_cell_length_b 4.443
_cell_length_c 11.158
_cell_angle_alpha 90.00
_cell_angle_beta 107.14
_cell_angle_gamma 90.00
_space_group_name_H-M_alt 'P 1 21/m 1'
_space_group_IT_number 11
loop_
_space_group_symop_operation_xyz
'x,y,z'
'-x,-y,-z'
'-x,y+1/2,-z'
'x,-y+1/2,z'
loop_
_atom_site_label
_atom_site_type_symbol
_atom_site_fract_x
_atom_site_fract_y
_atom_site_fract_z
_atom_site_occupancy
Ho1 Ho 0.188 0.250 0.141 1
Cd1 Cd 0.423 0.750 0.389 1
In1 In 0.243 0.750 0.720 1
Te1 Te 0.058 0.250 0.856 1
Te2 Te 0.241 0.250 0.441 1
Te3 Te 0.436 0.750 0.140 1
```

[2]
DFT (PBE) results for a relaxed structure of Al12Fe.

Output
Its total energy is -4.189 eV per atom. As for the spin magnetization: 0.004 μB per cell.

Geometry as CIF:
```
data_Al12Fe
_chemical_formula_sum 'Al24 Fe2'
_cell_length_a 7.462
_cell_length_b 7.462
_cell_length_c 7.462
_cell_angle_alpha 90.00
_cell_angle_beta 90.00
_cell_angle_gamma 90.00
_space_group_name_H-M_alt 'I m -3'
_space_group_IT_number 204
_space_group_name_Hall '-I 2 2 3'
loop_
_atom_site_label
_atom_site_type_symbol
_atom_site_fract_x
_atom_site_fract_y
_atom_site_fract_z
_atom_site_occupancy
Al1 Al 0.000 0.305 0.187 1
Fe1 Fe 0.000 0.000 0.000 1
```